No. 1
Tl2ZnSn | PBE | optimized geometry

Results
* ΔE_f: 0.128 eV/atom
* magnetic moment: 0.0 μB/f.u.
* D(E_F): 0.519 states/eV per atom

a b c (Å): 3.5234 3.5234 8.4956
angles (deg): 90.00 90.00 90.00
Space group P4/mmm (No. 123)
Asymmetric unit:
Tl  0.0000  0.0000  0.2229 [2 per cell]
Zn  0.5000  0.5000  0.0000 [1 per cell]
Sn  0.5000  0.5000  0.5000 [1 per cell]


No. 2
Tl2ZnSn2 | PBE | optimized geometry

Results
* ΔE_f: 0.195 eV/atom
* magnetic moment: 0.0 μB/f.u.
* D(E_F): 0.480 states/eV per atom

a b c (Å): 4.1961 4.1961 17.5994
angles (deg): 90.00 90.00 90.00
Space group I4/mmm (No. 139)
Asymmetric unit:
Tl  0.0000  0.0000  0.0951 [4 per cell]
Zn  0.0000  0.0000  0.5000 [2 per cell]
Sn  0.0000  0.5000  0.2500 [4 per cell]


No. 3
Tl2ZnSn2 | PBE | optimized geometry

Results
* ΔE_f: 0.298 eV/atom
* magnetic moment: 0.0 μB/f.u.
* D(E_F): 0.385 states/eV per atom

a b c (Å): 4.3739 4.3739 15.6014
angles (deg): 90.00 90.00 90.00
Space group I4/mmm (No. 139)
Asymmetric unit:
Tl  0.0000  0.5000  0.2500 [4 per cell]
Zn  0.0000  0.0000  0.0000 [2 per cell]
Sn  0.0000  0.0000  0.4074 [4 per cell]


No. 4
Tl3Zn2Sn9 | PBE | optimized geometry

Results
* ΔE_f: 0.065 eV/atom
* magnetic moment: 0.0 μB/f.u.
* D(E_F): 0.499 states/eV per atom

a b c (Å): 13.7829 13.1743 4.5130
angles (deg): 90.00 108.93 90.00
Space group C2/m (No. 12)
Asymmetric unit:
Tl  0.0000  0.0000  0.0000 [2 per cell]
Tl  0.2085  0.5000  0.7058 [4 per cell]
Zn  0.0000  0.3352  0.5000 [4 per cell]
Sn  0.0000  0.5000  0.0000 [2 per cell]
Sn  0.1283  0.1360  0.6310 [8 per cell]
Sn  0.1439  0.2979  0.1451 [8 per cell]


No. 5
TlZn2Sn | PBE | optimized geometry

Results
* ΔE_f: 0.225 eV/atom
* magnetic moment: 0.0 μB/f.u.
* D(E_F): 0.425 states/eV per atom

a b c (Å): 3.3284 3.3284 30.2977
angles (deg): 90.00 90.00 120.00
Space group R-3m (No. 166, hexagonal axes)
Asymmetric unit:
Tl  0.0000  0.0000  0.0000 [3 per cell]
Zn  0.0000  0.0000  0.0910 [6 per cell]
Sn  0.0000  0.0000  0.5000 [3 per cell]


No. 6
TlZn2Sn | PBE | optimized geometry

Results
* ΔE_f: 0.167 eV/atom
* magnetic moment: 0.0 μB/f.u.
* D(E_F): 0.563 states/eV per atom

a b c (Å): 7.1543 7.1543 7.1543
angles (deg): 90.00 90.00 90.00
Space group Fm-3m (No. 225)
Asymmetric unit:
Tl  0.0000  0.0000  0.0000 [4 per cell]
Zn  0.2500  0.2500  0.2500 [8 per cell]
Sn  0.0000  0.0000  0.5000 [4 per cell]